# GGA-PBE CsK2ZnIn, relaxed
data_CsK2ZnIn
_chemical_formula_sum 'Cs1 K2 Zn1 In1'
_cell_length_a 6.710
_cell_length_b 6.710
_cell_length_c 5.455
_cell_angle_alpha 90.00
_cell_angle_beta 90.00
_cell_angle_gamma 90.00
_symmetry_space_group_name_H-M 'P 1'
_symmetry_Int_Tables_number 1
loop_
_symmetry_equiv_pos_as_xyz
'x,y,z'
loop_
_atom_site_label
_atom_site_type_symbol
_atom_site_fract_x
_atom_site_fract_y
_atom_site_fract_z
_atom_site_occupancy
Cs1 Cs 0.500 0.500 0.500 1
Zn1 Zn 0.000 0.000 0.000 1
K1 K 0.000 0.500 0.000 1
K2 K 0.500 0.000 0.000 1
In1 In 0.000 0.000 0.500 1
# Electronic total energy = -1.345 eV per atom
# Offset from the most stable computed form = 0.0000 eV/atom
# Space group = No. 123
# D(E_F) = 2.668 states/eV per cell
# Energy of formation from the pure elements = 0.068 eV per atom